[1]
Below is crystalline SrIn4Hg4 at its relaxed geometry, with properties calculated at the PBE level.

Summary:
* D(E_F): 0.52 states/eV per atom
* energy of formation from the pure elements: -0.169 eV per atom
* energy above the lowest structure with this stoichiometry: 0 meV per atom
* final energy: -15.36 eV/cell

a = 7.639 Å, b = 7.639 Å, c = 7.639 Å
α = 95.22°, β = 95.22°, γ = 144.90°
Sites, in units of the cell vectors:
Sr1 0.000 0.000 0.000
In1 0.000 0.339 0.339
In2 0.000 0.661 0.661
In3 0.339 0.000 0.339
In4 0.661 0.000 0.661
Hg1 0.328 0.328 0.656
Hg2 0.328 0.672 0.000
Hg3 0.672 0.328 0.000
Hg4 0.672 0.672 0.344



[2]
Below is crystalline Sr3In4Hg4 at its relaxed geometry, with properties calculated at the PBE level.

Summary:
* D(E_F): 0.45 states/eV per atom
* energy of formation from the pure elements: -0.398 eV per atom
* final energy: -21.58 eV/cell

a = 4.120 Å, b = 5.039 Å, c = 15.829 Å
α = 99.09°, β = 97.39°, γ = 90.04°
Sites, in units of the cell vectors:
Sr1 0.000 0.000 0.000
Sr2 0.145 0.644 0.289
Sr3 0.855 0.356 0.711
In1 0.259 0.259 0.516
In2 0.405 0.907 0.813
In3 0.595 0.093 0.187
In4 0.741 0.741 0.484
Hg1 0.313 0.815 0.628
Hg2 0.451 0.453 0.905
Hg3 0.549 0.547 0.095
Hg4 0.687 0.185 0.372



[3]
Below is crystalline SrInHg2 at its relaxed geometry, with properties calculated at the PBE level.

Summary:
* D(E_F): 0.45 states/eV per atom
* energy of formation from the pure elements: -0.282 eV per atom
* final energy: -6.15 eV/cell

a = 3.965 Å, b = 3.965 Å, c = 7.288 Å
α = 90.00°, β = 90.00°, γ = 90.00°
Sites, in units of the cell vectors:
Sr1 0.000 0.000 0.000
In1 0.500 0.500 0.697
Hg1 0.000 0.000 0.493
Hg2 0.500 0.500 0.256



[4]
Below is crystalline Sr5In2Hg at its relaxed geometry, with properties calculated at the PBE level.

Summary:
* D(E_F): 0.61 states/eV per atom
* energy of formation from the pure elements: -0.360 eV per atom
* final energy: -34.14 eV/cell

a = 7.416 Å, b = 13.949 Å, c = 5.754 Å
α = 90.00°, β = 90.00°, γ = 90.00°
Sites, in units of the cell vectors:
Sr1 0.000 0.000 0.000
Sr2 0.138 0.279 0.000
Sr3 0.163 0.607 0.500
Sr4 0.337 0.107 0.500
Sr5 0.362 0.779 0.000
Sr6 0.500 0.500 0.000
Sr7 0.638 0.221 0.000
Sr8 0.663 0.893 0.500
Sr9 0.837 0.393 0.500
Sr10 0.862 0.721 0.000
In1 0.135 0.867 0.500
In2 0.365 0.367 0.500
In3 0.635 0.633 0.500
In4 0.865 0.133 0.500
Hg1 0.000 0.500 0.000
Hg2 0.500 0.000 0.000



[5]
Below is crystalline SrIn5Hg3 at its relaxed geometry, with properties calculated at the PBE level.

Summary:
* D(E_F): 0.33 states/eV per atom
* energy of formation from the pure elements: -0.133 eV per atom
* final energy: -34.96 eV/cell

a = 5.461 Å, b = 12.528 Å, c = 7.670 Å
α = 90.00°, β = 103.40°, γ = 90.00°
Sites, in units of the cell vectors:
Sr1 0.067 0.250 0.311
Sr2 0.933 0.750 0.689
In1 0.000 0.000 0.000
In2 0.000 0.500 0.000
In3 0.189 0.067 0.670
In4 0.189 0.433 0.670
In5 0.495 0.625 0.927
In6 0.495 0.875 0.927
In7 0.505 0.125 0.073
In8 0.505 0.375 0.073
In9 0.811 0.567 0.330
In10 0.811 0.933 0.330
Hg1 0.105 0.750 0.136
Hg2 0.379 0.626 0.493
Hg3 0.379 0.874 0.493
Hg4 0.621 0.126 0.507
Hg5 0.621 0.374 0.507
Hg6 0.895 0.250 0.864



[6]
Below is crystalline Sr4In2Hg at its relaxed geometry, with properties calculated at the PBE level.

Summary:
* D(E_F): 1.13 states/eV per atom
* energy of formation from the pure elements: -0.371 eV per atom
* final energy: -15.10 eV/cell

a = 9.962 Å, b = 9.962 Å, c = 9.962 Å
α = 33.40°, β = 33.40°, γ = 33.40°
Sites, in units of the cell vectors:
Sr1 0.124 0.124 0.124
Sr2 0.374 0.374 0.374
Sr3 0.626 0.626 0.626
Sr4 0.876 0.876 0.876
In1 0.250 0.250 0.250
In2 0.750 0.750 0.750
Hg1 0.000 0.000 0.000



[7]
Below is crystalline Sr2InHg at its relaxed geometry, with properties calculated at the PBE level.

Summary:
* D(E_F): 1.05 states/eV per atom
* energy of formation from the pure elements: -0.489 eV per atom
* final energy: -8.36 eV/cell

a = 5.731 Å, b = 5.731 Å, c = 5.731 Å
α = 60.00°, β = 60.00°, γ = 60.00°
Sites, in units of the cell vectors:
Sr1 0.250 0.250 0.250
Sr2 0.750 0.750 0.750
In1 0.000 0.000 0.000
Hg1 0.500 0.500 0.500



[8]
Below is crystalline SrInHg2 at its relaxed geometry, with properties calculated at the PBE level.

Summary:
* D(E_F): 0.67 states/eV per atom
* energy of formation from the pure elements: -0.292 eV per atom
* final energy: -6.19 eV/cell

a = 5.384 Å, b = 5.384 Å, c = 5.384 Å
α = 60.00°, β = 60.00°, γ = 60.00°
Sites, in units of the cell vectors:
Sr1 0.000 0.000 0.000
In1 0.250 0.250 0.250
Hg1 0.500 0.500 0.500
Hg2 0.750 0.750 0.750



[9]
Below is crystalline Sr2In2Hg at its relaxed geometry, with properties calculated at the PBE level.

Summary:
* D(E_F): 0.76 states/eV per atom
* energy of formation from the pure elements: -0.444 eV per atom
* energy above the lowest structure with this stoichiometry: 0 meV per atom
* final energy: -22.72 eV/cell

a = 6.535 Å, b = 6.535 Å, c = 12.147 Å
α = 114.80°, β = 114.80°, γ = 44.52°
Sites, in units of the cell vectors:
Sr1 0.015 0.015 0.333
Sr2 0.189 0.189 0.110
Sr3 0.811 0.811 0.890
Sr4 0.985 0.985 0.667
In1 0.358 0.358 0.441
In2 0.475 0.475 0.112
In3 0.525 0.525 0.888
In4 0.642 0.642 0.559
Hg1 0.279 0.279 0.662
Hg2 0.721 0.721 0.338



[10]
Below is crystalline Sr2InHg at its relaxed geometry, with properties calculated at the PBE level.

Summary:
* D(E_F): 1.20 states/eV per atom
* energy of formation from the pure elements: 0.213 eV per atom
* final energy: -5.55 eV/cell

a = 7.741 Å, b = 7.741 Å, c = 7.741 Å
α = 150.48°, β = 128.24°, γ = 60.72°
Sites, in units of the cell vectors:
Sr1 0.238 0.238 0.000
Sr2 0.762 0.762 0.000
In1 0.500 0.500 0.000
Hg1 0.000 0.000 0.000



[11]
Below is crystalline Sr2InHg at its relaxed geometry, with properties calculated at the PBE level.

Summary:
* D(E_F): 1.06 states/eV per atom
* energy of formation from the pure elements: -0.298 eV per atom
* final energy: -7.59 eV/cell

a = 6.430 Å, b = 6.430 Å, c = 6.430 Å
α = 134.60°, β = 134.60°, γ = 66.15°
Sites, in units of the cell vectors:
Sr1 0.000 0.000 0.000
Sr2 0.750 0.250 0.500
In1 0.500 0.500 0.000
Hg1 0.250 0.750 0.500



[12]
Below is crystalline Sr2In4Hg9 at its relaxed geometry, with properties calculated at the PBE level.

Summary:
* D(E_F): 0.46 states/eV per atom
* energy of formation from the pure elements: -0.200 eV per atom
* final energy: -20.03 eV/cell

a = 5.120 Å, b = 5.120 Å, c = 18.375 Å
α = 90.00°, β = 90.00°, γ = 120.00°
Sites, in units of the cell vectors:
Sr1 0.333 0.667 0.262
Sr2 0.667 0.333 0.738
In1 0.333 0.667 0.620
In2 0.333 0.667 0.875
In3 0.667 0.333 0.125
In4 0.667 0.333 0.380
Hg1 0.000 0.000 0.000
Hg2 0.000 0.000 0.175
Hg3 0.000 0.000 0.355
Hg4 0.000 0.000 0.645
Hg5 0.000 0.000 0.825
Hg6 0.333 0.667 0.066
Hg7 0.333 0.667 0.459
Hg8 0.667 0.333 0.541
Hg9 0.667 0.333 0.934